(1)
The following is a DFT calculation (PBE) of an optimized crystal structure of RbNa4Ag.

Cell: 9.6222 9.6222 9.6222 Å, 90.00 90.00 90.00°
Space group F-43m (No. 216)
Asymmetric unit:
Rb1 0.0000 0.0000 0.0000 x4
Na1 0.1230 0.1230 0.3770 x16
Ag1 0.2500 0.2500 0.7500 x4

V   37.12 A^3/atom
Polymorph energy (0 for the lowest one)   108 meV per atom

(2)
The following is a DFT calculation (PBE) of an optimized crystal structure of LaZrTc2.

Cell: 3.9498 3.9498 10.2636 Å, 90.00 90.00 90.00°
Space group I-4m2 (No. 119)
Asymmetric unit:
La1 0.0000 0.0000 0.0000 x2
Zr1 0.0000 0.5000 0.2500 x2
Tc1 0.0000 0.0000 0.5000 x2
Tc2 0.0000 0.5000 0.7500 x2

V   20.01 A^3/atom
Polymorph energy (0 for the lowest one)   271 meV per atom

(3)
The following is a DFT calculation (PBE) of an optimized crystal structure of Mg2OsAu.

Cell: 9.0381 2.9001 5.1661 Å, 90.00 99.55 90.00°
Space group C2/m (No. 12)
Asymmetric unit:
Mg1 0.2482 0.0000 0.2399 x4
Os1 0.0000 0.5000 0.0000 x2
Au1 0.0000 0.0000 0.5000 x2

V   16.69 A^3/atom
VASP energy   -34.66 eV/cell